Record 1
The following is a DFT calculation (GGA-PBE) of a geometry-optimized LaAlGeBr structure.

Lattice parameters (Å, degrees): 4.340 4.340 14.353 81.30 81.30 60.00
Fractional coordinates of all 8 atoms:
La 0.080 0.080 0.759
La 0.920 0.920 0.241
Al 0.690 0.690 0.930
Al 0.310 0.310 0.070
Ge 0.629 0.629 0.112
Ge 0.371 0.371 0.888
Br 0.790 0.790 0.629
Br 0.210 0.210 0.371

Computed properties:
ΔE_f (raw) = -0.99 eV per atom

***

Record 2
The following is a DFT calculation (GGA-PBE) of a geometry-optimized La4AlGeBr2 structure.

Lattice parameters (Å, degrees): 4.391 7.854 7.689 109.18 90.00 90.00
Fractional coordinates of all 8 atoms:
La 0.500 0.237 0.225
La 0.500 0.763 0.775
La 0.000 0.248 0.767
La 0.000 0.752 0.233
Al 0.500 0.500 0.000
Ge 0.000 0.000 0.000
Br 0.500 0.000 0.500
Br 0.000 0.500 0.500

Computed properties:
ΔE_f (raw) = -0.99 eV per atom

***

Record 3
The following is a DFT calculation (GGA-PBE) of a geometry-optimized La8AlGe3Br4 structure.

Lattice parameters (Å, degrees): 8.916 8.881 8.916 120.13 120.00 90.00
Fractional coordinates of all 16 atoms:
La 0.244 0.726 0.982
La 0.244 0.726 0.488
La 0.260 0.280 0.520
La 0.738 0.726 0.982
La 0.262 0.274 0.018
La 0.740 0.720 0.480
La 0.756 0.274 0.512
La 0.756 0.274 0.018
Al 0.000 0.500 0.000
Ge 0.500 0.500 0.000
Ge 0.500 0.500 0.500
Ge 0.000 0.500 0.500
Br 0.500 0.000 0.000
Br 0.500 0.000 0.500
Br 0.000 0.000 0.000
Br 0.000 0.000 0.500

Computed properties:
ΔE_f (raw) = -1.11 eV per atom

***

Record 4
The following is a DFT calculation (GGA-PBE) of a geometry-optimized Li4Al3Ge3BrO12 structure.

Lattice parameters (Å, degrees): 8.759 8.759 8.759 90.00 90.00 90.00
Site moments in Bohr magnetons follow the coordinates.
Fractional coordinates of all 46 atoms:
Li 0.821 0.821 0.179  0.00
Li 0.679 0.679 0.679  0.00
Li 0.821 0.179 0.821  0.00
Li 0.679 0.321 0.321  0.00
Li 0.179 0.821 0.821  0.00
Li 0.321 0.679 0.321  0.00
Li 0.321 0.321 0.679  0.00
Li 0.179 0.179 0.179  0.00
Al 0.000 0.750 0.500  0.00
Al 0.250 0.500 0.000  0.00
Al 0.500 0.000 0.750  0.00
Al 0.500 0.000 0.250  0.00
Al 0.000 0.250 0.500  0.00
Al 0.750 0.500 0.000  0.00
Ge 0.000 0.500 0.250  0.00
Ge 0.500 0.750 0.000  0.00
Ge 0.500 0.250 0.000  0.00
Ge 0.000 0.500 0.750  0.00
Ge 0.750 0.000 0.500  0.00
Ge 0.250 0.000 0.500  0.00
Br 0.000 0.000 0.000  0.12
Br 0.500 0.500 0.500  0.12
O 0.639 0.361 0.096  0.00
O 0.904 0.361 0.361  0.00
O 0.639 0.096 0.361  0.00
O 0.596 0.861 0.139  0.00
O 0.861 0.404 0.861  0.00
O 0.096 0.361 0.639  0.00
O 0.139 0.404 0.139  0.00
O 0.404 0.139 0.139  0.00
O 0.139 0.596 0.861  0.00
O 0.861 0.861 0.404  0.00
O 0.096 0.639 0.361  0.00
O 0.861 0.596 0.139  0.00
O 0.361 0.904 0.361  0.00
O 0.361 0.096 0.639  0.00
O 0.639 0.639 0.904  0.00
O 0.596 0.139 0.861  0.00
O 0.639 0.904 0.639  0.00
O 0.139 0.139 0.404  0.00
O 0.361 0.639 0.096  0.00
O 0.139 0.861 0.596  0.00
O 0.404 0.861 0.861  0.00
O 0.861 0.139 0.596  0.00
O 0.361 0.361 0.904  0.00
O 0.904 0.639 0.639  0.00

Computed properties:
ΔE_f (raw) = -2.26 eV per atom

***

Record 5
The following is a DFT calculation (GGA-PBE) of a geometry-optimized AlGe2MoBr structure.

Lattice parameters (Å, degrees): 4.788 5.270 4.788 90.00 90.00 90.00
Site moments in Bohr magnetons follow the coordinates.
Fractional coordinates of all 5 atoms:
Mo 0.000 0.500 0.000  2.88
Ge 0.000 0.000 0.500  -0.03
Ge 0.500 0.000 0.000  -0.03
Br 0.500 0.500 0.500  0.01
Al 0.000 0.000 0.000  -0.01

Computed properties:
ΔE_f (raw) = 1.01 eV per atom

***

Record 6
The following is a DFT calculation (GGA-PBE) of a geometry-optimized Na4Al3Ge3BrO12 structure.

Lattice parameters (Å, degrees): 9.197 9.197 9.197 90.00 90.00 90.00
Site moments in Bohr magnetons follow the coordinates.
Fractional coordinates of all 46 atoms:
Na 0.182 0.818 0.818  0.00
Na 0.318 0.682 0.318  0.00
Na 0.182 0.182 0.182  0.00
Na 0.318 0.318 0.682  0.00
Na 0.682 0.318 0.318  0.00
Na 0.818 0.818 0.182  0.00
Na 0.682 0.682 0.682  0.00
Na 0.818 0.182 0.818  0.00
Al 0.000 0.500 0.750  0.00
Al 0.000 0.500 0.250  0.00
Al 0.250 0.000 0.500  0.00
Al 0.500 0.250 0.000  0.00
Al 0.500 0.750 0.000  0.00
Al 0.750 0.000 0.500  0.00
Ge 0.250 0.500 0.000  0.00
Ge 0.500 0.000 0.250  0.00
Ge 0.750 0.500 0.000  0.00
Ge 0.000 0.250 0.500  0.00
Ge 0.500 0.000 0.750  0.00
Ge 0.000 0.750 0.500  0.00
Br 0.500 0.500 0.500  0.14
Br 0.000 0.000 0.000  0.14
O 0.145 0.145 0.430  0.01
O 0.855 0.855 0.430  0.01
O 0.645 0.930 0.645  0.01
O 0.355 0.355 0.930  0.01
O 0.645 0.645 0.930  0.01
O 0.355 0.930 0.355  0.01
O 0.430 0.145 0.145  0.01
O 0.145 0.570 0.855  0.01
O 0.930 0.355 0.355  0.01
O 0.645 0.355 0.070  0.01
O 0.645 0.070 0.355  0.01
O 0.145 0.855 0.570  0.01
O 0.430 0.855 0.855  0.01
O 0.855 0.430 0.855  0.01
O 0.355 0.070 0.645  0.01
O 0.930 0.645 0.645  0.01
O 0.070 0.355 0.645  0.01
O 0.855 0.570 0.145  0.01
O 0.145 0.430 0.145  0.01
O 0.070 0.645 0.355  0.01
O 0.355 0.645 0.070  0.01
O 0.570 0.855 0.145  0.01
O 0.570 0.145 0.855  0.01
O 0.855 0.145 0.570  0.01

Computed properties:
ΔE_f (raw) = -2.21 eV per atom

***

Record 7
The following is a DFT calculation (GGA-PBE) of a geometry-optimized AlGePtBr2 structure.

Lattice parameters (Å, degrees): 4.884 5.205 4.884 90.00 90.00 90.00
Site moments in Bohr magnetons follow the coordinates.
Fractional coordinates of all 5 atoms:
Ge 0.000 0.500 0.000  0.01
Br 0.000 0.000 0.500  0.05
Br 0.500 0.000 0.000  0.06
Pt 0.500 0.500 0.500  0.56
Al 0.000 0.000 0.000  0.01

Computed properties:
ΔE_f (raw) = 0.55 eV per atom

***

Record 8
The following is a DFT calculation (GGA-PBE) of a geometry-optimized RbAlGeBr2 structure.

Lattice parameters (Å, degrees): 5.625 4.962 5.625 90.00 90.00 90.00
Site moments in Bohr magnetons follow the coordinates.
Fractional coordinates of all 5 atoms:
Ge 0.000 0.500 0.000  0.51
Br 0.000 0.000 0.500  0.06
Br 0.500 0.000 0.000  0.05
Rb 0.500 0.500 0.500  0.01
Al 0.000 0.000 0.000  0.00

Computed properties:
ΔE_f (raw) = -0.49 eV per atom

***

Record 9
The following is a DFT calculation (GGA-PBE) of a geometry-optimized AlGeRhBr2 structure.

Lattice parameters (Å, degrees): 4.948 5.001 4.948 90.00 90.00 90.00
Site moments in Bohr magnetons follow the coordinates.
Fractional coordinates of all 5 atoms:
Ge 0.000 0.500 0.000  -0.05
Rh 0.500 0.500 0.500  0.35
Al 0.000 0.000 0.000  0.00
Br 0.000 0.000 0.500  0.00
Br 0.500 0.000 0.000  0.00

Computed properties:
ΔE_f (raw) = 0.63 eV per atom

***

Record 10
The following is a DFT calculation (GGA-PBE) of a geometry-optimized AlGeSeBr2 structure.

Lattice parameters (Å, degrees): 5.002 5.002 5.108 90.00 90.00 90.00
Fractional coordinates of all 5 atoms:
Ge 0.500 0.500 0.500
Se 0.000 0.000 0.500
Br 0.000 0.500 0.000
Br 0.500 0.000 0.000
Al 0.000 0.000 0.000

Computed properties:
ΔE_f (raw) = -0.10 eV per atom
distance to the lowest polymorph of the same formula = 0.00 eV per formula unit

***

Record 11
The following is a DFT calculation (GGA-PBE) of a geometry-optimized AlGeSe2Br structure.

Lattice parameters (Å, degrees): 4.990 4.990 4.886 90.00 90.00 90.00
Fractional coordinates of all 5 atoms:
Ge 0.500 0.500 0.500
Se 0.000 0.500 0.000
Se 0.500 0.000 0.000
Br 0.000 0.000 0.500
Al 0.000 0.000 0.000

Computed properties:
ΔE_f (raw) = -0.05 eV per atom
distance to the lowest polymorph of the same formula = 0.00 eV per formula unit

***

Record 12
The following is a DFT calculation (GGA-PBE) of a geometry-optimized SmAlGeBr structure.

Lattice parameters (Å, degrees): 4.269 4.269 14.013 81.24 81.24 60.00
Fractional coordinates of all 8 atoms:
Sm 0.080 0.080 0.760
Sm 0.920 0.920 0.240
Al 0.690 0.690 0.930
Al 0.310 0.310 0.070
Ge 0.628 0.628 0.115
Ge 0.372 0.372 0.885
Br 0.789 0.789 0.632
Br 0.211 0.211 0.368

Computed properties:
ΔE_f (raw) = -0.91 eV per atom

***

Record 13
The following is a DFT calculation (GGA-PBE) of a geometry-optimized Ti2AlGeBr structure.

Lattice parameters (Å, degrees): 4.903 5.142 4.903 90.00 90.00 90.00
Fractional coordinates of all 5 atoms:
Ge 0.000 0.000 0.000
Al 0.500 0.500 0.500
Br 0.000 0.500 0.000
Ti 0.000 0.000 0.500
Ti 0.500 0.000 0.000

Computed properties:
ΔE_f (raw) = 0.77 eV per atom

***

Record 14
The following is a DFT calculation (GGA-PBE) of a geometry-optimized ZrAlGeBr2 structure.

Lattice parameters (Å, degrees): 5.253 5.502 5.253 90.00 90.00 90.00
Fractional coordinates of all 5 atoms:
Ge 0.000 0.500 0.000
Br 0.000 0.000 0.500
Br 0.500 0.000 0.000
Zr 0.000 0.000 0.000
Al 0.500 0.500 0.500

Computed properties:
ΔE_f (raw) = -0.05 eV per atom

***

Record 15
The following is a DFT calculation (GGA-PBE) of a geometry-optimized Al2H2Br7 structure.

Lattice parameters (Å, degrees): 7.959 6.996 7.959 91.96 98.96 91.96
Site moments in Bohr magnetons follow the coordinates.
Fractional coordinates of all 11 atoms:
Al 0.762 0.468 0.762  0.00
Al 0.238 0.532 0.238  0.00
H 0.806 0.000 0.194  0.38
H 0.194 0.000 0.806  0.38
Br 0.148 0.355 0.450  0.15
Br 0.550 0.645 0.852  0.15
Br 0.852 0.645 0.550  0.15
Br 0.450 0.355 0.148  0.15
Br 0.000 0.500 0.000  0.00
Br 0.295 0.847 0.295  0.01
Br 0.705 0.153 0.705  0.01

***

Record 16
The following is a DFT calculation (GGA-PBE) of a geometry-optimized Al2HBr structure.

Lattice parameters (Å, degrees): 5.280 5.280 6.984 67.79 67.79 90.00
Fractional coordinates of all 8 atoms:
H 0.500 0.500 0.000
H 0.250 0.750 0.500
Al 0.458 0.125 0.250
Al 0.292 0.625 0.250
Al 0.375 0.542 0.750
Al 0.875 0.708 0.750
Br 0.000 0.000 0.000
Br 0.750 0.250 0.500

Computed properties:
distance to the lowest polymorph of the same formula = 0.00 eV per formula unit

***

Record 17
The following is a DFT calculation (GGA-PBE) of a geometry-optimized Al2HBr structure.

Lattice parameters (Å, degrees): 4.911 4.911 4.911 60.00 60.00 60.00
Fractional coordinates of all 4 atoms:
H 0.000 0.000 0.000
Al 0.250 0.250 0.250
Al 0.750 0.750 0.750
Br 0.500 0.500 0.500

Computed properties:
distance to the lowest polymorph of the same formula = 1.23 eV per formula unit

***

Record 18
The following is a DFT calculation (GGA-PBE) of a geometry-optimized Al3HBr structure.

Lattice parameters (Å, degrees): 4.477 4.477 4.477 90.00 90.00 90.00
Fractional coordinates of all 5 atoms:
H 0.000 0.000 0.000
Al 0.000 0.500 0.000
Al 0.000 0.000 0.500
Al 0.500 0.000 0.000
Br 0.500 0.500 0.500

Computed properties:
distance to the lowest polymorph of the same formula = 0.00 eV per formula unit

***

Record 19
The following is a DFT calculation (GGA-PBE) of a geometry-optimized Al3HBr structure.

Lattice parameters (Å, degrees): 5.705 5.705 5.705 90.00 90.00 90.00
Fractional coordinates of all 5 atoms:
H 0.500 0.500 0.500
Al 0.000 0.500 0.000
Al 0.000 0.000 0.500
Al 0.500 0.000 0.000
Br 0.000 0.000 0.000

Computed properties:
distance to the lowest polymorph of the same formula = 3.88 eV per formula unit

***

Record 20
The following is a DFT calculation (GGA-PBE) of a geometry-optimized LaAlH2Br structure.

Lattice parameters (Å, degrees): 4.487 6.051 4.487 90.00 90.00 90.00
Fractional coordinates of all 5 atoms:
H 0.000 0.000 0.500
H 0.500 0.000 0.000
Al 0.500 0.500 0.500
Br 0.000 0.500 0.000
La 0.000 0.000 0.000

***

Record 21
The following is a DFT calculation (GGA-PBE) of a geometry-optimized MgAlH4Br structure.

Lattice parameters (Å, degrees): 5.861 5.861 7.373 66.75 66.75 67.24
Fractional coordinates of all 14 atoms:
Mg 0.199 0.199 0.810
Mg 0.801 0.801 0.190
Al 0.596 0.596 0.727
Al 0.404 0.404 0.273
H 0.336 0.336 0.522
H 0.664 0.664 0.478
H 0.137 0.534 0.207
H 0.594 0.594 0.174
H 0.466 0.863 0.793
H 0.534 0.137 0.207
H 0.406 0.406 0.826
H 0.863 0.466 0.793
Br 0.064 0.064 0.208
Br 0.936 0.936 0.792

***

Number 1: electronic total energy -4.731 eV per atom, magnetization 0.0 μB per formula unit. Number 2: electronic total energy -4.919 eV per atom, magnetization 0.0 μB per formula unit. Number 3: electronic total energy -5.093 eV per atom, magnetization 0.0 μB per formula unit. Number 4: electronic total energy -6.338 eV per atom, magnetization 0.2 μB per formula unit. Number 5: electronic total energy -4.084 eV per atom, magnetization 3.4 μB per formula unit. Number 6: electronic total energy -6.190 eV per atom, magnetization 0.3 μB per formula unit. Number 7: electronic total energy -2.999 eV per atom, magnetization 0.9 μB per formula unit. Number 8: electronic total energy -3.021 eV per atom, magnetization 1.5 μB per formula unit. Number 9: electronic total energy -3.184 eV per atom, magnetization 0.2 μB per formula unit. Number 10: electronic total energy -3.140 eV per atom, magnetization 0.0 μB per formula unit. Number 11: electronic total energy -3.450 eV per atom, magnetization 0.0 μB per formula unit. Number 12: electronic total energy -4.599 eV per atom, magnetization 0.0 μB per formula unit. Number 13: electronic total energy -4.396 eV per atom, magnetization 0.0 μB per formula unit. Number 14: electronic total energy -4.100 eV per atom, magnetization 0.0 μB per formula unit. Number 15: electronic total energy -2.655 eV per atom, magnetization 2.8 μB per formula unit. Number 16: electronic total energy -2.842 eV per atom, magnetization 0.0 μB per formula unit. Number 17: electronic total energy -2.534 eV per atom, magnetization 0.0 μB per formula unit. Number 18: electronic total energy -2.771 eV per atom, magnetization 0.0 μB per formula unit. Number 19: electronic total energy -1.996 eV per atom, magnetization 0.0 μB per formula unit. Number 20: electronic total energy -3.604 eV per atom, magnetization 0.0 μB per formula unit. Number 21: electronic total energy -3.223 eV per atom, magnetization 0.0 μB per formula unit.